DFT (GGA+U) results for an optimized crystal structure of AcTl2VO4.

Lattice parameters (Å, degrees): 7.168 7.168 8.803 124.95 124.95 74.75
Sites, in units of the cell vectors:
Ac 0.000 0.500 0.000
Ac 0.000 0.500 0.500
Tl 0.500 0.000 0.000
Tl 0.500 0.000 0.500
Tl 0.000 0.000 0.500
Tl 0.500 0.500 0.000
V 0.500 0.500 0.500
V 0.000 0.000 0.000
O 0.126 0.722 0.903
O 0.778 0.374 0.597
O 0.222 0.626 0.403
O 0.874 0.278 0.097
O 0.970 0.934 0.162
O 0.566 0.530 0.338
O 0.434 0.470 0.662
O 0.030 0.066 0.838

Values from the calculation:
DOS(E_F)	2.722	states/eV per cell
crystal system	monoclinic
symmetry	No. 15
VASP energy	-6.164	eV per atom